Record 1
An optimized crystal structure of RbNiBr. Source: Alexandria, functional PBE.

Energy in eV per cell: -38.74
Crystal system: orthorhombic
DOS at the Fermi energy in states/eV/cell: 5.84
Relative energy among the computed polymorphs in meV per atom: 7.2
Formation energy (no corrections) in meV per atom: -421
Total magnetization in Bohr magnetons per cell: 4.1

abc: 5.308 17.706 4.128
angles: 90.00 90.00 90.00
Space group Cmcm (No. 63)
Inequivalent atoms, fractional coordinates:
Rb: 0.000 0.128 0.250 x4
Ni: 0.000 0.470 0.250 x4
Br: 0.000 0.332 0.250 x4


Record 2
An optimized crystal structure of RbNiBr. Source: Alexandria, functional PBE.

Energy in eV per cell: -19.30
Crystal system: monoclinic
DOS at the Fermi energy in states/eV/cell: 3.59
Relative energy among the computed polymorphs in meV per atom: 18.6
Formation energy (no corrections) in meV per atom: -410
Total magnetization in Bohr magnetons per cell: 0.0

abc: 4.563 4.137 9.553
angles: 90.00 92.91 90.00
Space group Pm (No. 6)
Inequivalent atoms, fractional coordinates:
Rb: 0.000 0.000 0.000 x1
Rb: 0.048 0.000 0.416 x1
Ni: 0.569 0.000 0.698 x1
Ni: 0.841 0.500 0.693 x1
Br: 0.333 0.500 0.737 x1
Br: 0.525 0.500 0.203 x1


Record 3
An optimized crystal structure of RbNiBr. Source: Alexandria, functional PBE.

Energy in eV per cell: -38.83
Crystal system: orthorhombic
DOS at the Fermi energy in states/eV/cell: 1.14
Relative energy among the computed polymorphs in meV per atom: 0.0
Formation energy (no corrections) in meV per atom: -428
Total magnetization in Bohr magnetons per cell: 0.0

abc: 5.256 14.712 5.086
angles: 90.00 90.00 90.00
Space group Cmcm (No. 63)
Inequivalent atoms, fractional coordinates:
Rb: 0.000 0.125 0.250 x4
Ni: 0.000 0.500 0.000 x4
Br: 0.000 0.370 0.250 x4


Record 4
An optimized crystal structure of RbNi3Br. Source: Alexandria, functional PBE.

Energy in eV per cell: -9.71
Crystal system: cubic
DOS at the Fermi energy in states/eV/cell: 27.10
Relative energy among the computed polymorphs in meV per atom: 1230.4
Formation energy (no corrections) in meV per atom: 2055
Total magnetization in Bohr magnetons per cell: 1.5

abc: 4.930 4.930 4.930
angles: 90.00 90.00 90.00
Space group Pm-3m (No. 221)
Inequivalent atoms, fractional coordinates:
Rb: 0.000 0.000 0.000 x1
Ni: 0.000 0.000 0.500 x3
Br: 0.500 0.500 0.500 x1


Record 5
An optimized crystal structure of RbNiBr. Source: Alexandria, functional PBE.

Energy in eV per cell: -38.38
Crystal system: orthorhombic
DOS at the Fermi energy in states/eV/cell: 1.02
Relative energy among the computed polymorphs in meV per atom: 37.6
Formation energy (no corrections) in meV per atom: -391
Total magnetization in Bohr magnetons per cell: 0.0

abc: 4.381 10.102 8.829
angles: 90.00 90.00 90.00
Space group Amm2 (No. 38)
Inequivalent atoms, fractional coordinates:
Rb: 0.000 0.242 0.000 x4
Ni: 0.000 0.000 0.254 x2
Ni: 0.500 0.000 0.106 x2
Br: 0.500 0.000 0.360 x2
Br: 0.500 0.000 0.845 x2


Record 6
An optimized crystal structure of RbNiBr. Source: Alexandria, functional PBE.

Energy in eV per cell: -19.13
Crystal system: triclinic
DOS at the Fermi energy in states/eV/cell: 0.01
Relative energy among the computed polymorphs in meV per atom: 47.3
Formation energy (no corrections) in meV per atom: -381
Total magnetization in Bohr magnetons per cell: 0.0

abc: 4.376 6.790 7.146
angles: 100.16 90.16 108.14
Space group P1 (No. 1)
Inequivalent atoms, fractional coordinates:
Rb: 0.000 0.000 0.000 x1
Rb: 0.244 0.507 0.581 x1
Ni: 0.566 0.135 0.664 x1
Ni: 0.993 0.984 0.512 x1
Br: 0.467 0.930 0.375 x1
Br: 0.692 0.395 0.936 x1


Record 7
An optimized crystal structure of Rb2ReNiBr6. Source: Alexandria, functional PBE.

Energy in eV per cell: -146.37
Crystal system: cubic
DOS at the Fermi energy in states/eV/cell: 7.97
Formation energy (no corrections) in meV per atom: -639
Total magnetization in Bohr magnetons per cell: 12.1

abc: 10.523 10.523 10.523
angles: 90.00 90.00 90.00
Space group Fm-3m (No. 225)
Inequivalent atoms, fractional coordinates:
Rb: 0.250 0.250 0.250 x8
Re: 0.000 0.000 0.000 x4
Ni: 0.000 0.000 0.500 x4
Br: 0.000 0.000 0.250 x24


Record 8
An optimized crystal structure of Rb2NiRhBr6. Source: Alexandria, functional PBE.

Energy in eV per cell: -66.39
Crystal system: tetragonal
DOS at the Fermi energy in states/eV/cell: 6.58
Formation energy (no corrections) in meV per atom: -809
Total magnetization in Bohr magnetons per cell: 2.0

abc: 7.335 7.335 10.365
angles: 90.00 90.00 90.00
Space group I4/mmm (No. 139)
Inequivalent atoms, fractional coordinates:
Rb: 0.000 0.500 0.250 x4
Ni: 0.000 0.000 0.000 x2
Rh: 0.000 0.000 0.500 x2
Br: 0.000 0.000 0.250 x4
Br: 0.249 0.249 0.500 x8


Record 9
An optimized crystal structure of RbNiRhBr6. Source: Alexandria, functional PBE.

Energy in eV per cell: -30.12
Crystal system: trigonal
Formation energy (no corrections) in meV per atom: -665
Total magnetization in Bohr magnetons per cell: 2.0

abc: 6.5933 6.5933 7.8635
angles: 90.00 90.00 120.00
Space group P312 (No. 149)
Inequivalent atoms, fractional coordinates:
Rb: 0.0000 0.0000 0.0000 x1
Ni: 0.6667 0.3333 0.5000 x1
Rh: 0.3333 0.6667 0.5000 x1
Br: 0.0044 0.3681 0.6804 x6


Record 10
An optimized crystal structure of RbNi2SbBr. Source: Alexandria, functional PBE.

Energy in eV per cell: -18.14
Crystal system: tetragonal
DOS at the Fermi energy in states/eV/cell: 6.48
Formation energy (no corrections) in meV per atom: 37
Total magnetization in Bohr magnetons per cell: 1.1

abc: 4.812 4.812 6.418
angles: 90.00 90.00 90.00
Space group P4/mmm (No. 123)
Inequivalent atoms, fractional coordinates:
Rb: 0.000 0.000 0.000 x1
Ni: 0.000 0.500 0.500 x2
Sb: 0.500 0.500 0.500 x1
Br: 0.500 0.500 0.000 x1


Record 11
An optimized crystal structure of Rb2NiSeBr6. Source: Alexandria, functional PBE.

Energy in eV per cell: -57.97
Crystal system: tetragonal
DOS at the Fermi energy in states/eV/cell: 6.67
Formation energy (no corrections) in meV per atom: -774
Total magnetization in Bohr magnetons per cell: 0.0

abc: 7.545 7.545 10.581
angles: 90.00 90.00 90.00
Space group I4/mmm (No. 139)
Inequivalent atoms, fractional coordinates:
Rb: 0.000 0.500 0.250 x4
Ni: 0.000 0.000 0.000 x2
Se: 0.000 0.000 0.500 x2
Br: 0.000 0.000 0.240 x4
Br: 0.233 0.233 0.000 x8


Record 12
An optimized crystal structure of Rb2SiNiBr. Source: Alexandria, functional PBE.

Energy in eV per cell: -13.35
Crystal system: tetragonal
DOS at the Fermi energy in states/eV/cell: 2.97
Formation energy (no corrections) in meV per atom: 293
Total magnetization in Bohr magnetons per cell: 2.2

abc: 6.686 6.686 4.383
angles: 90.00 90.00 90.00
Space group P4/mmm (No. 123)
Inequivalent atoms, fractional coordinates:
Rb: 0.000 0.500 0.000 x2
Si: 0.000 0.000 0.500 x1
Ni: 0.500 0.500 0.500 x1
Br: 0.500 0.500 0.000 x1


Record 13
An optimized crystal structure of RbSiNi2Br. Source: Alexandria, functional PBE.

Energy in eV per cell: -18.98
Crystal system: tetragonal
DOS at the Fermi energy in states/eV/cell: 1.36
Formation energy (no corrections) in meV per atom: 129
Total magnetization in Bohr magnetons per cell: 0.0

abc: 4.392 4.392 8.122
angles: 90.00 90.00 90.00
Space group P4/mmm (No. 123)
Inequivalent atoms, fractional coordinates:
Rb: 0.000 0.000 0.000 x1
Si: 0.000 0.000 0.500 x1
Ni: 0.000 0.500 0.500 x2
Br: 0.500 0.500 0.000 x1


Record 14
An optimized crystal structure of RbSmNiBr6. Source: Alexandria, functional PBE.

Energy in eV per cell: -33.33
Crystal system: trigonal
Formation energy (no corrections) in meV per atom: -1314
Total magnetization in Bohr magnetons per cell: 2.1

abc: 7.1094 7.1094 7.7091
angles: 90.00 90.00 120.00
Space group P312 (No. 149)
Inequivalent atoms, fractional coordinates:
Rb: 0.0000 0.0000 0.0000 x1
Sm: 0.3333 0.6667 0.5000 x1
Ni: 0.6667 0.3333 0.5000 x1
Br: 0.3857 0.0298 0.7008 x6


Record 15
An optimized crystal structure of Rb2NiSnBr6. Source: Alexandria, functional PBE.

Energy in eV per cell: -63.72
Crystal system: tetragonal
DOS at the Fermi energy in states/eV/cell: 7.44
Relative energy among the computed polymorphs in meV per atom: 0.0
Formation energy (no corrections) in meV per atom: -1011
Total magnetization in Bohr magnetons per cell: 3.4

abc: 7.737 7.737 10.906
angles: 90.00 90.00 90.00
Space group I4/mmm (No. 139)
Inequivalent atoms, fractional coordinates:
Rb: 0.000 0.500 0.250 x4
Ni: 0.000 0.000 0.000 x2
Sn: 0.000 0.000 0.500 x2
Br: 0.000 0.000 0.235 x4
Br: 0.236 0.236 0.000 x8


Record 16
An optimized crystal structure of Rb2NiSnBr6. Source: Alexandria, functional PBE.

Energy in eV per cell: -31.51
Crystal system: tetragonal
DOS at the Fermi energy in states/eV/cell: 1.91
Relative energy among the computed polymorphs in meV per atom: 34.7
Formation energy (no corrections) in meV per atom: -976
Total magnetization in Bohr magnetons per cell: 1.5

abc: 5.601 5.601 10.743
angles: 90.00 90.00 90.00
Space group P4/mmm (No. 123)
Inequivalent atoms, fractional coordinates:
Rb: 0.000 0.000 0.214 x2
Ni: 0.500 0.500 0.000 x1
Sn: 0.500 0.500 0.500 x1
Br: 0.000 0.500 0.000 x2
Br: 0.000 0.500 0.500 x2
Br: 0.500 0.500 0.230 x2


Record 17
An optimized crystal structure of Rb2TaNiBr6. Source: Alexandria, functional PBE.

Energy in eV per cell: -76.49
Crystal system: tetragonal
DOS at the Fermi energy in states/eV/cell: 17.34
Formation energy (no corrections) in meV per atom: -864
Total magnetization in Bohr magnetons per cell: 2.0

abc: 7.265 7.265 11.694
angles: 90.00 90.00 90.00
Space group I4/mmm (No. 139)
Inequivalent atoms, fractional coordinates:
Rb: 0.000 0.500 0.250 x4
Ta: 0.000 0.000 0.000 x2
Ni: 0.000 0.000 0.500 x2
Br: 0.000 0.000 0.226 x4
Br: 0.244 0.244 0.500 x8


Record 18
An optimized crystal structure of RbTbNiBr6. Source: Alexandria, functional PBE.

Energy in eV per cell: -33.30
Crystal system: trigonal
Formation energy (no corrections) in meV per atom: -1321
Total magnetization in Bohr magnetons per cell: 2.1

abc: 7.0351 7.0351 7.7418
angles: 90.00 90.00 120.00
Space group P312 (No. 149)
Inequivalent atoms, fractional coordinates:
Rb: 0.0000 0.0000 0.0000 x1
Tb: 0.3333 0.6667 0.5000 x1
Ni: 0.6667 0.3333 0.5000 x1
Br: 0.3836 0.0250 0.6989 x6


Record 19
An optimized crystal structure of Rb2TcNiBr6. Source: Alexandria, functional PBE.

Energy in eV per cell: -71.88
Crystal system: tetragonal
DOS at the Fermi energy in states/eV/cell: 1.42
Formation energy (no corrections) in meV per atom: -782
Total magnetization in Bohr magnetons per cell: 6.0

abc: 7.471 7.471 10.587
angles: 90.00 90.00 90.00
Space group I4/mmm (No. 139)
Inequivalent atoms, fractional coordinates:
Rb: 0.000 0.500 0.250 x4
Tc: 0.000 0.000 0.000 x2
Ni: 0.000 0.000 0.500 x2
Br: 0.000 0.000 0.254 x4
Br: 0.247 0.247 0.500 x8


Record 20
An optimized crystal structure of RbTcNiBr6. Source: Alexandria, functional PBE.

Energy in eV per cell: -32.75
Crystal system: trigonal
DOS at the Fermi energy in states/eV/cell: 4.85
Formation energy (no corrections) in meV per atom: -622
Total magnetization in Bohr magnetons per cell: 4.0

abc: 6.7272 6.7272 7.7430
angles: 90.00 90.00 120.00
Space group P312 (No. 149)
Inequivalent atoms, fractional coordinates:
Rb: 0.0000 0.0000 0.0000 x1
Tc: 0.6667 0.3333 0.5000 x1
Ni: 0.3333 0.6667 0.5000 x1
Br: 0.3767 0.0030 0.6876 x6


Record 21
An optimized crystal structure of Rb2NiTeBr6. Source: Alexandria, functional PBE.

Energy in eV per cell: -58.45
Crystal system: tetragonal
DOS at the Fermi energy in states/eV/cell: 5.92
Formation energy (no corrections) in meV per atom: -833
Total magnetization in Bohr magnetons per cell: 0.0

abc: 7.684 7.684 10.894
angles: 90.00 90.00 90.00
Space group I4/mmm (No. 139)
Inequivalent atoms, fractional coordinates:
Rb: 0.000 0.500 0.250 x4
Ni: 0.000 0.000 0.000 x2
Te: 0.000 0.000 0.500 x2
Br: 0.000 0.000 0.233 x4
Br: 0.232 0.232 0.000 x8


Record 22
An optimized crystal structure of RbNiTeBr6. Source: Alexandria, functional PBE.

Energy in eV per cell: -25.09
Crystal system: triclinic
DOS at the Fermi energy in states/eV/cell: 1.88
Formation energy (no corrections) in meV per atom: -573
Total magnetization in Bohr magnetons per cell: 1.0

abc: 7.072 7.073 7.511
angles: 91.65 91.61 115.69
Space group P1 (No. 1)
Inequivalent atoms, fractional coordinates:
Rb: 0.000 0.000 0.000 x1
Ni: 0.326 0.671 0.501 x1
Te: 0.666 0.334 0.500 x1
Br: 0.015 0.387 0.697 x1
Br: 0.032 0.653 0.302 x1
Br: 0.348 0.968 0.698 x1
Br: 0.361 0.394 0.297 x1
Br: 0.606 0.639 0.703 x1
Br: 0.613 0.985 0.303 x1


Record 23
An optimized crystal structure of RbTlNiBr6. Source: Alexandria, functional PBE.

Energy in eV per cell: -25.50
Crystal system: trigonal
Formation energy (no corrections) in meV per atom: -705
Total magnetization in Bohr magnetons per cell: 1.8

abc: 6.9919 6.9919 7.7435
angles: 90.00 90.00 120.00
Space group P312 (No. 149)
Inequivalent atoms, fractional coordinates:
Rb: 0.0000 0.0000 0.0000 x1
Tl: 0.6667 0.3333 0.5000 x1
Ni: 0.3333 0.6667 0.5000 x1
Br: 0.0279 0.3845 0.6963 x6


Record 24
An optimized crystal structure of Rb2TlNiBr6. Source: Alexandria, functional PBE.

Energy in eV per cell: -119.46
Crystal system: cubic
DOS at the Fermi energy in states/eV/cell: 6.81
Formation energy (no corrections) in meV per atom: -974
Total magnetization in Bohr magnetons per cell: 4.0

abc: 11.013 11.013 11.013
angles: 90.00 90.00 90.00
Space group Fm-3m (No. 225)
Inequivalent atoms, fractional coordinates:
Rb: 0.250 0.250 0.250 x8
Tl: 0.000 0.000 0.000 x4
Ni: 0.000 0.000 0.500 x4
Br: 0.000 0.000 0.273 x24